Material: IrPtI3
Method: DFT, meta-GGA SCAN
State: PBEsol geometry

Results
total magnetization	3.3	μB per formula unit
formation energy from raw total energies	1.234	eV per atom

Cell lengths 5.290, 5.290, 5.290 Å; angles 90.00, 90.00, 90.00 degrees
Space group Pm-3m (No. 221)
Inequivalent atoms, fractional coordinates:
Ir 0.000 0.000 0.000
Pt 0.500 0.500 0.500
I 0.000 0.500 0.500